{
  "formula": "LuPaAl2",
  "functional": "PBE",
  "state": "optimized geometry",
  "rho_g_cm3": 8.75,
  "delta_e_f_ev_per_fu": -0.98,
  "dos_at_fermi_per_ev_cell": 4.59,
  "energy_ev_per_atom": -5.6198,
  "lattice_angstrom": [[3.221, 0.000, 0.000], [0.000, 3.221, 0.000], [0.000, 0.000, 8.414]],
  "species": ["Lu", "Pa", "Al", "Al"],
  "frac_coords": [[0.000, 0.000, 0.000], [0.000, 0.000, 0.500], [0.500, 0.500, 0.246], [0.500, 0.500, 0.754]]
}